VASP calculation (PBE) on a relaxed structure of TmPu3Hg4.

Symmetry: P4/mmm, No. 123
D(E_F) in states/eV/cell: 20.44
Total magnetization in μB per cell: 5.8
Total energy in eV per atom: -6.2762
Formation energy in eV/atom: -0.19

Cell: 3.3446 3.3446 17.9799 Å, 90.00 90.00 90.00°
Element x y z (fractional)
Tm  0.5000  0.5000  0.0000
Hg  0.0000  0.0000  0.8849
Hg  0.0000  0.0000  0.1151
Hg  0.0000  0.0000  0.3720
Hg  0.0000  0.0000  0.6280
Pu  0.5000  0.5000  0.2436
Pu  0.5000  0.5000  0.5000
Pu  0.5000  0.5000  0.7564



VASP calculation (PBE) on a relaxed structure of HgTeIO2.

Symmetry: P4/mmm, No. 123
D(E_F) in states/eV/cell: 1.11
Total magnetization in μB per cell: 0.0
Total energy in eV per atom: -3.2411
Uncorrected formation energy in eV per atom: -0.259
Polymorph energy (0 for the lowest one) in eV/f.u.: 0.00

Cell: 4.1888 4.1888 6.9102 Å, 90.00 90.00 90.00°
Element x y z (fractional)
I  0.0000  0.0000  0.5000
Te  0.0000  0.0000  0.0000
Hg  0.5000  0.5000  0.5000
O  0.0000  0.5000  0.0000
O  0.5000  0.0000  0.0000



VASP calculation (PBE) on a relaxed structure of AlNi3.

Symmetry: Pmmm, No. 47
D(E_F) in states/eV/cell: 5.22
Total magnetization in μB per cell: 0.0
Total energy in eV per atom: -5.6160
Formation energy in eV/atom: -0.34

Cell: 3.3951 2.6113 5.7668 Å, 63.07 90.00 90.00°
Element x y z (fractional)
Ni  0.5000  0.7533  0.7469
Ni  0.0000  0.5000  0.5000
Ni  0.5000  0.2467  0.2531
Al  0.0000  0.0000  0.0000



VASP calculation (PBE) on a relaxed structure of MgTlGa.

Symmetry: P3m1, No. 156
D(E_F) in states/eV/cell: 1.82
Total magnetization in μB per cell: 0.0
Total energy in eV per atom: -2.2717
Formation energy in eV/atom: 0.06

Cell: 3.4198 4.9247 4.9247 Å, 120.00 90.00 90.00°
Element x y z (fractional)
Tl  0.6875  0.6667  0.3333
Mg  0.2659  0.3333  0.6667
Ga  0.0465  0.0000  0.0000



VASP calculation (PBE) on a relaxed structure of TmMgNi.

Symmetry: I4mm, No. 107
D(E_F) in states/eV/cell: 2.06
Total magnetization in μB per cell: 0.0
Total energy in eV per atom: -4.1739
Formation energy in eV/atom: -0.22

Cell: 3.2851 3.2851 6.0119 Å, 105.86 105.86 90.00°
Element x y z (fractional)
Ni  0.6655  0.6655  0.3310
Mg  0.0298  0.0298  0.0595
Tm  0.3048  0.3048  0.6095



VASP calculation (PBE) on a relaxed structure of CaLaRe.

Symmetry: F-43m, No. 216
D(E_F) in states/eV/cell: 2.76
Total magnetization in μB per cell: 0.0
Total energy in eV per atom: -5.7872
Formation energy in eV/atom: 0.67
Polymorph energy (0 for the lowest one) in eV/f.u.: 0.49

Cell: 4.8930 4.8930 4.8930 Å, 60.00 60.00 60.00°
Element x y z (fractional)
Re  0.7500  0.7500  0.7500
Ca  0.0000  0.0000  0.0000
La  0.5000  0.5000  0.5000